# 1
Crystalline Ag3HgTe3 at its relaxed geometry. Source: Alexandria, functional PBE.

Total moment (μB/f.u.): 0.0
V (Å³/cell): 395.5
Distance to the lowest polymorph of the same formula (meV per atom): 0
DOS(E_F) (states/eV per atom): 0.519

Cell: 9.0225 9.0225 9.0225 Å, 49.91 49.91 49.91°
Fractional coordinates of all 14 atoms:
1 Ag 0.7989 0.4691 0.1344
2 Ag 0.1344 0.7989 0.4691
3 Ag 0.4691 0.1344 0.7989
4 Ag 0.5309 0.8656 0.2011
5 Ag 0.8656 0.2011 0.5309
6 Ag 0.2011 0.5309 0.8656
7 Hg 0.3332 0.3332 0.3332
8 Hg 0.6668 0.6668 0.6668
9 Te 0.5835 0.2578 0.9255
10 Te 0.2578 0.9255 0.5835
11 Te 0.9255 0.5835 0.2578
12 Te 0.0745 0.4165 0.7422
13 Te 0.7422 0.0745 0.4165
14 Te 0.4165 0.7422 0.0745



# 2
Crystalline TlCd2W at its relaxed geometry. Source: Alexandria, functional PBE.

Total moment (μB/f.u.): 1.0
V (Å³/cell): 181.3
Distance to the lowest polymorph of the same formula (meV per atom): 490
Formation energy (meV/atom): 1023
DOS(E_F) (states/eV per atom): 0.065

Cell: 7.9429 7.9429 6.3086 Å, 50.99 50.99 90.00°
Last column: magnetic moment on the atom in μB.
Fractional coordinates of all 8 atoms:
1 Tl 0.0000 0.0000 0.0000  -0.01
2 Tl 0.7500 0.2500 0.5000  -0.01
3 W 0.5000 0.5000 0.0000  0.82
4 W 0.2500 0.7500 0.5000  0.83
5 Cd 0.6100 0.1250 0.2500  0.00
6 Cd 0.1400 0.6250 0.2500  -0.01
7 Cd 0.3750 0.3900 0.7500  0.00
8 Cd 0.8750 0.8600 0.7500  -0.01



# 3
Crystalline Be2CrNi at its relaxed geometry. Source: Alexandria, functional PBE.

Total moment (μB/f.u.): 1.1
V (Å³/cell): 38.5
Formation energy (meV/atom): -23
DOS(E_F) (states/eV per atom): 0.814

Cell: 4.3660 4.3660 4.0403 Å, 71.70 71.70 31.89°
Last column: magnetic moment on the atom in μB.
Fractional coordinates of all 4 atoms:
1 Ni 0.7354 0.7354 0.8028  0.16
2 Be 0.9880 0.9880 0.9676  -0.02
3 Be 0.2680 0.2680 0.2751  0.00
4 Cr 0.5085 0.5085 0.4545  0.94



# 4
Crystalline ZrBe2CoC at its relaxed geometry. Source: Alexandria, functional PBE.

Total moment (μB/f.u.): 0.0
V (Å³/cell): 58.1
Formation energy (meV/atom): 52
DOS(E_F) (states/eV per atom): 0.412

Cell: 3.5671 4.5635 3.5671 Å, 90.00 90.00 90.00°
Fractional coordinates of all 5 atoms:
1 Be 0.0000 0.0000 0.5000
2 Be 0.5000 0.0000 0.0000
3 C 0.0000 0.0000 0.0000
4 Co 0.5000 0.5000 0.5000
5 Zr 0.0000 0.5000 0.0000



# 5
Crystalline SbPdN3 at its relaxed geometry. Source: Alexandria, functional PBE.

Total moment (μB/f.u.): 1.9
Total energy (eV per cell): -25.33
V (Å³/cell): 65.0
DOS(E_F) (states/eV per atom): 1.026

Cell: 4.0205 4.0205 4.0205 Å, 90.00 90.00 90.00°
Last column: magnetic moment on the atom in μB.
Fractional coordinates of all 5 atoms:
1 Sb 0.0000 0.0000 0.0000  -0.03
2 Pd 0.5000 0.5000 0.5000  0.48
3 N 0.0000 0.5000 0.0000  0.40
4 N 0.0000 0.0000 0.5000  0.35
5 N 0.5000 0.0000 0.0000  0.35



# 6
Crystalline Dy5MgPd6 at its relaxed geometry. Source: Alexandria, functional PBE.

Total moment (μB/f.u.): 0.0
V (Å³/cell): 249.9
Formation energy (meV/atom): -858
DOS(E_F) (states/eV per atom): 0.504

Cell: 4.9463 6.8567 8.4956 Å, 113.81 106.93 90.00°
Fractional coordinates of all 12 atoms:
1 Mg 0.0000 0.0000 0.0000
2 Pd 0.8326 0.5813 0.6658
3 Pd 0.8326 0.0845 0.6658
4 Pd 0.4999 0.7388 0.0000
5 Pd 0.5001 0.2612 0.0000
6 Pd 0.1674 0.9155 0.3342
7 Pd 0.1674 0.4187 0.3342
8 Dy 0.6580 0.1578 0.3157
9 Dy 0.3306 0.3306 0.6612
10 Dy 0.0000 0.5000 0.0000
11 Dy 0.6694 0.6694 0.3388
12 Dy 0.3420 0.8422 0.6843



> The highest V belongs to which entry?

Ag3HgTe3



> Number 4 is which compound?

ZrBe2CoC



> Which value of V does entry 4 give?

58.1 Å³/cell